(1)
# Al4RhSe

A geometry-optimized Al4RhSe structure (PBEsol, Alexandria).

Cell: 5.1572 5.1572 5.1572 Å, 60.00 60.00 60.00°
Fractional positions:
1 Al 0.3754 0.8738 0.3754
2 Al 0.3754 0.3754 0.8738
3 Se 0.0000 0.0000 0.0000
4 Al 0.8738 0.3754 0.3754
5 Al 0.3754 0.3754 0.3754
6 Rh 0.7500 0.7500 0.7500

space group = No. 216
crystal system = cubic
final energy = -0.1671 Ha/atom
total moment = 0.00 μB/cell

(2)
# Cr2ReSb

A geometry-optimized Cr2ReSb structure (PBEsol, Alexandria).

Cell: 3.0057 4.5555 4.6841 Å, 104.16 108.71 90.00°
Fractional positions:
1 Sb 0.5000 0.0000 0.0000
2 Cr 0.7423 0.7001 0.4846
3 Cr 0.2577 0.2999 0.5154
4 Re 0.0000 0.5000 0.0000

space group = No. 12
crystal system = monoclinic
final energy = -0.3350 Ha/atom
total moment = 0.00 μB/cell

(3)
# AgRhSe2

A geometry-optimized AgRhSe2 structure (PBEsol, Alexandria).

Cell: 4.5867 4.5867 4.5867 Å, 60.00 60.00 60.00°
Fractional positions:
1 Ag 0.5000 0.5000 0.5000
2 Rh 0.7500 0.7500 0.7500
3 Se 0.2500 0.2500 0.2500
4 Se 0.0000 0.0000 0.0000

space group = No. 216
crystal system = cubic
final energy = -0.1588 Ha/atom
total moment = 0.00 μB/cell

(4)
# LiHfMg3

A geometry-optimized LiHfMg3 structure (PBEsol, Alexandria).

Cell: 4.6335 4.6335 4.6335 Å, 90.00 90.00 90.00°
Fractional positions:
1 Mg 0.0000 0.5000 0.0000
2 Mg 0.0000 0.0000 0.5000
3 Mg 0.5000 0.0000 0.0000
4 Hf 0.5000 0.5000 0.5000
5 Li 0.0000 0.0000 0.0000

space group = No. 221
energy relative to the elements = 233 kJ/mol of formula units
crystal system = cubic
total moment = 0.00 μB/cell

(5)
# Zr2AgAu

A geometry-optimized Zr2AgAu structure (PBEsol, Alexandria).

Cell: 3.0170 5.1262 5.1262 Å, 108.63 90.00 90.00°
Fractional positions:
1 Zr 0.0000 0.0000 0.5000
2 Au 0.5000 0.5000 0.5000
3 Zr 0.0000 0.5000 0.0000
4 Ag 0.5000 0.0000 0.0000

space group = No. 65
energy relative to the elements = -116 kJ/mol of formula units
crystal system = orthorhombic
total moment = 0.00 μB/cell

(6)
# NbHgIr3

A geometry-optimized NbHgIr3 structure (PBEsol, Alexandria).

Cell: 4.7286 4.7286 4.7286 Å, 90.00 90.00 90.00°
Fractional positions:
1 Ir 0.0000 0.0000 0.5000
2 Hg 0.5000 0.5000 0.5000
3 Nb 0.0000 0.0000 0.0000
4 Ir 0.0000 0.5000 0.0000
5 Ir 0.5000 0.0000 0.0000

space group = No. 221
energy relative to the elements = 796 kJ/mol of formula units
crystal system = cubic
total moment = 0.00 μB/cell